DFT (PBE) results for a relaxed structure of PuThHgGe.

Cell lengths 7.4420, 7.4420, 7.4420 Å; angles 90.00, 90.00, 90.00 degrees
Space group F-43m (No. 216)
Unique sites:
Pu1 0.0000 0.0000 0.0000 (multiplicity 4)
Th1 0.0000 0.0000 0.5000 (multiplicity 4)
Hg1 0.2500 0.2500 0.2500 (multiplicity 4)
Ge1 0.2500 0.2500 0.7500 (multiplicity 4)

## Properties
* DOS at the Fermi energy: 11.09 states/eV/f.u.
* total magnetic moment: 25.7 μB per cell
* mass density: 12075 kg/m³
* E: -111.093 eV/cell
* E_form: -0.28 eV/atom
* volume: 412.2 Å³ per cell